## ZnCr2Co (SCAN)

Data for a crystal of ZnCr2Co relaxed with PBEsol.

Output
Energy of formation ... 0.28 eV per atom

Cell lengths 2.4513, 4.2961, 4.5053 Å; angles 97.31, 90.00, 106.58 degrees
Atoms (fractional coordinates):
Co (0.7447, 0.4893, 0.2515)
Cr (0.0118, 0.0236, 0.0009)
Cr (0.2494, 0.4988, 0.7557)
Zn (0.4941, 0.9883, 0.4919)

=====

## ZnCrCo2 (SCAN)

Data for a crystal of ZnCrCo2 relaxed with PBEsol.

Output
Energy of formation ... 0.09 eV per atom

Cell lengths 2.4414, 2.4414, 7.8745 Å; angles 90.00, 90.00, 108.13 degrees
Site moments in Bohr magnetons follow the coordinates.
Atoms (fractional coordinates):
Zn (0.5000, 0.5000, 0.0000)  -0.04
Cr (0.5000, 0.5000, 0.5000)  0.41
Co (0.0000, 0.0000, 0.7398)  1.70
Co (0.0000, 0.0000, 0.2602)  1.70

=====

## ZnCrCo2 (SCAN)

Data for a crystal of ZnCrCo2 relaxed with PBEsol.

Output
Energy of formation ... 0.20 eV per atom

Cell lengths 2.4931, 4.2572, 4.3711 Å; angles 100.92, 106.57, 90.00 degrees
Site moments in Bohr magnetons follow the coordinates.
Atoms (fractional coordinates):
Zn (0.7444, 0.2243, 0.4887)  -0.01
Co (0.9909, 0.0149, 0.9818)  1.25
Co (0.2555, 0.7258, 0.5110)  1.28
Cr (0.5093, 0.5351, 0.0185)  -1.78

=====

## ZnCrCo2 (SCAN)

Data for a crystal of ZnCrCo2 relaxed with PBEsol.

Output
Energy of formation ... 0.06 eV per atom

Cell lengths 2.7431, 2.7431, 5.8904 Å; angles 90.00, 90.00, 90.00 degrees
Site moments in Bohr magnetons follow the coordinates.
Atoms (fractional coordinates):
Zn (0.5000, 0.5000, 0.5000)  -0.07
Cr (0.5000, 0.5000, 0.0000)  0.97
Co (0.0000, 0.0000, 0.2325)  1.11
Co (0.0000, 0.0000, 0.7675)  1.11

=====

## ZnCrCo2 (SCAN)

Data for a crystal of ZnCrCo2 relaxed with PBEsol.

Output
Energy of formation ... 0.18 eV per atom

Cell lengths 2.5426, 3.2694, 5.2378 Å; angles 90.00, 90.00, 90.00 degrees
Site moments in Bohr magnetons follow the coordinates.
Atoms (fractional coordinates):
Zn (0.5000, 0.5000, 0.5000)  -0.02
Co (0.0000, 0.0000, 0.2354)  0.21
Co (0.0000, 0.0000, 0.7646)  0.21
Cr (0.5000, 0.5000, 0.0000)  0.88

=====

## ZnCr2Co (SCAN)

Data for a crystal of ZnCr2Co relaxed with PBEsol.

Output
Energy of formation ... 0.29 eV per atom

Cell lengths 2.4919, 2.4919, 8.5467 Å; angles 81.62, 81.62, 60.00 degrees
Site moments in Bohr magnetons follow the coordinates.
Atoms (fractional coordinates):
Cr (0.2553, 0.2553, 0.2341)  0.01
Zn (0.5000, 0.5000, 0.5000)  0.00
Co (0.0000, 0.0000, 0.0000)  1.28
Cr (0.7447, 0.7447, 0.7659)  0.01

=====

## ZrCr2Co (SCAN)

Data for a crystal of ZrCr2Co relaxed with PBEsol.

Output
Energy of formation ... 0.47 eV per atom

Cell lengths 2.8039, 2.8039, 8.1809 Å; angles 80.13, 80.13, 60.00 degrees
Site moments in Bohr magnetons follow the coordinates.
Atoms (fractional coordinates):
Cr (0.0023, 0.0023, 0.9930)  1.34
Co (0.2609, 0.2609, 0.2173)  1.66
Cr (0.7352, 0.7352, 0.7945)  -1.31
Zr (0.5016, 0.5016, 0.4952)  0.08

=====

## ZrCr2Co (SCAN)

Data for a crystal of ZrCr2Co relaxed with PBEsol.

Output
Energy of formation ... 0.39 eV per atom

Cell lengths 3.0861, 4.1469, 4.1469 Å; angles 90.00, 90.00, 90.00 degrees
Site moments in Bohr magnetons follow the coordinates.
Atoms (fractional coordinates):
Cr (0.0000, 0.0000, 0.5000)  1.75
Zr (0.5000, 0.5000, 0.5000)  -0.28
Co (0.5000, 0.0000, 0.0000)  0.89
Cr (0.0000, 0.5000, 0.0000)  1.75

=====

## ZrCr2Co (SCAN)

Data for a crystal of ZrCr2Co relaxed with PBEsol.

Output
Energy of formation ... 0.38 eV per atom

Cell lengths 2.6382, 4.7455, 4.9513 Å; angles 115.44, 100.20, 100.73 degrees
Site moments in Bohr magnetons follow the coordinates.
Atoms (fractional coordinates):
Cr (0.0000, 0.0000, 0.5000)  0.51
Co (0.5000, 0.0000, 0.0000)  1.50
Cr (0.5000, 0.5000, 0.5000)  0.51
Zr (0.0000, 0.5000, 0.0000)  -0.16

=====

## Zr2CrCo3 (SCAN)

Data for a crystal of Zr2CrCo3 relaxed with PBEsol.

Output
Energy of formation ... -0.17 eV per atom

Cell lengths 4.7628, 4.7628, 4.7628 Å; angles 62.42, 62.42, 62.42 degrees
Site moments in Bohr magnetons follow the coordinates.
Atoms (fractional coordinates):
Zr (0.6269, 0.6269, 0.6269)  -0.10
Zr (0.3731, 0.3731, 0.3731)  -0.10
Co (0.0000, 0.5000, 0.0000)  0.11
Co (0.0000, 0.0000, 0.5000)  0.11
Cr (0.0000, 0.0000, 0.0000)  1.64
Co (0.5000, 0.0000, 0.0000)  0.11

=====

## ZrCr2Co (SCAN)

Data for a crystal of ZrCr2Co relaxed with PBEsol.

Output
Energy of formation ... 0.02 eV per atom

Cell lengths 2.9610, 2.9610, 6.0998 Å; angles 90.00, 90.00, 90.00 degrees
Site moments in Bohr magnetons follow the coordinates.
Atoms (fractional coordinates):
Zr (0.0000, 0.0000, 0.5053)  0.15
Cr (0.5000, 0.5000, 0.2095)  -1.92
Co (0.5000, 0.5000, 0.7764)  1.30
Cr (0.0000, 0.0000, 0.0088)  2.03

=====

## Cs2CoCu3F10 (SCAN)

Data for a crystal of Cs2CoCu3F10 relaxed with PBEsol.

Output
Uncorrected formation energy ... -35.0 eV per formula unit

Cell lengths 6.8179, 6.1303, 6.9457 Å; angles 66.39, 67.07, 67.51 degrees
Site moments in Bohr magnetons follow the coordinates.
Atoms (fractional coordinates):
Cu (0.0000, 0.0000, 0.0000)  0.55
F (0.3023, 0.3290, 0.9295)  0.06
F (0.3087, 0.8614, 0.9591)  0.07
F (0.9609, 0.3208, 0.3106)  0.03
F (0.0391, 0.6792, 0.6894)  0.03
F (0.3010, 0.9291, 0.3624)  0.00
F (0.9556, 0.8865, 0.3136)  0.04
F (0.6913, 0.1386, 0.0409)  0.07
Cs (0.3674, 0.3914, 0.3662)  0.00
F (0.0444, 0.1135, 0.6864)  0.04
Cu (0.0000, 0.5000, 0.0000)  0.47
Cs (0.6326, 0.6086, 0.6338)  0.00
Cu (0.5000, 0.0000, 0.0000)  0.69
F (0.6977, 0.6710, 0.0705)  0.06
F (0.6990, 0.0709, 0.6376)  0.00
Co (0.0000, 0.0000, 0.5000)  -0.08

=====

Number 1: total moment 0.0010 μB per atom. Number 2: total moment 0.9406 μB per atom. Number 3: total moment 0.1683 μB per atom. Number 4: total moment 0.7718 μB per atom. Number 5: total moment 0.3201 μB per atom. Number 6: total moment 0.3243 μB per atom. Number 7: total moment 0.4422 μB per atom. Number 8: total moment 1.0512 μB per atom. Number 9: total moment 0.5753 μB per atom. Number 10: total moment 0.2865 μB per atom. Number 11: total moment 0.3800 μB per atom. Number 12: total moment 0.1250 μB per atom.